# MnZnNO2

A relaxed MnZnNO2 crystal (PBE with a Hubbard U, Alexandria via LeMat-Bulk).

Cell and atoms, written as POSCAR:
```
MnZnNO2
1.0
3.811 0.000 0.000
0.000 3.811 0.000
0.000 0.000 3.737
O N Mn Zn
2 1 1 1
Direct
0.000 0.500 0.000
0.500 0.000 0.000
0.000 0.000 0.500
0.000 0.000 0.000
0.500 0.500 0.500
```

Properties
Final energy, eV per atom: -5.440